VASP calculation (PBE) on crystalline HgB2S at its relaxed geometry.

Unit cell a=5.1003 b=5.1003 c=8.6490 alpha=90.00 beta=90.00 gamma=90.00
Closest atoms and distances in Å follow each position.
Atoms (fractional coordinates):
1 Hg 0.0000 0.0000 0.0000  4 B 2.29
2 Hg 0.0000 0.5000 0.2500  4 B 2.29
3 Hg 0.5000 0.0000 0.7500  4 B 2.29
4 Hg 0.5000 0.5000 0.5000  4 B 2.29
5 B 0.1924 0.2500 0.6250  2 S 1.94
6 B 0.2500 0.6924 0.8750  2 S 1.94
7 B 0.2500 0.8076 0.3750  2 S 1.94
8 B 0.3076 0.2500 0.1250  2 S 1.94
9 B 0.6924 0.7500 0.1250  2 S 1.94
10 B 0.7500 0.1924 0.3750  2 S 1.94
11 B 0.7500 0.3076 0.8750  2 S 1.94
12 B 0.8076 0.7500 0.6250  2 S 1.94
13 S 0.0000 0.0000 0.5000  4 B 1.94
14 S 0.0000 0.5000 0.7500  4 B 1.94
15 S 0.5000 0.0000 0.2500  4 B 1.94
16 S 0.5000 0.5000 0.0000  4 B 1.94

Properties
E above lowest polymorph	0.00	eV/f.u.
volume	225	Å³ per cell
DOS at the Fermi energy	1.120	states/eV/cell
formation energy without anion corrections	763	meV/atom
space group	I-42d, No. 122

***

VASP calculation (PBE) on crystalline Cr2WCl at its relaxed geometry.

Unit cell a=6.0643 b=6.0643 c=6.0643 alpha=90.00 beta=90.00 gamma=90.00
Closest atoms and distances in Å follow each position.
Atoms (fractional coordinates):
1 Cr 0.2500 0.2500 0.2500  4 Cl 2.63, 4 W 2.63
2 Cr 0.2500 0.2500 0.7500  4 Cl 2.63, 4 W 2.63
3 Cr 0.2500 0.7500 0.2500  4 Cl 2.63, 4 W 2.63
4 Cr 0.2500 0.7500 0.7500  4 Cl 2.63, 4 W 2.63
5 Cr 0.7500 0.2500 0.2500  4 Cl 2.63, 4 W 2.63
6 Cr 0.7500 0.2500 0.7500  4 Cl 2.63, 4 W 2.63
7 Cr 0.7500 0.7500 0.2500  4 Cl 2.63, 4 W 2.63
8 Cr 0.7500 0.7500 0.7500  4 Cl 2.63, 4 W 2.63
9 W 0.0000 0.0000 0.0000  8 Cr 2.63
10 W 0.0000 0.5000 0.5000  8 Cr 2.63
11 W 0.5000 0.0000 0.5000  8 Cr 2.63
12 W 0.5000 0.5000 0.0000  8 Cr 2.63
13 Cl 0.0000 0.0000 0.5000  8 Cr 2.63
14 Cl 0.0000 0.5000 0.0000  8 Cr 2.63
15 Cl 0.5000 0.0000 0.0000  8 Cr 2.63
16 Cl 0.5000 0.5000 0.5000  8 Cr 2.63

Properties
E above lowest polymorph	3.68	eV/f.u.
volume	223	Å³ per cell
DOS at the Fermi energy	24.371	states/eV/cell
formation energy without anion corrections	1153	meV/atom
space group	Fm-3m, No. 225

***

VASP calculation (PBE) on crystalline Ce4SiRu at its relaxed geometry.

Unit cell a=4.9494 b=6.6641 c=8.4279 alpha=90.00 beta=92.36 gamma=90.00
Closest atoms and distances in Å follow each position.
Atoms (fractional coordinates):
1 Ce 0.2263 0.2500 0.0444  1 Ru 2.49
2 Ce 0.2379 0.7500 0.3741  1 Ru 2.57
3 Ce 0.2650 0.5398 0.7202  1 Ce 2.80, 2 Si 3.06-3.08
4 Ce 0.2650 0.9602 0.7202  1 Ce 2.80, 2 Si 3.06-3.08
5 Ce 0.7350 0.0398 0.2798  1 Ce 2.80, 2 Si 3.06-3.08
6 Ce 0.7350 0.4602 0.2798  1 Ce 2.80, 2 Si 3.06-3.08
7 Ce 0.7621 0.2500 0.6259  1 Ru 2.57
8 Ce 0.7737 0.7500 0.9556  1 Ru 2.49
9 Si 0.2462 0.2500 0.4170  11 Ce 3.03-3.35
10 Si 0.7538 0.7500 0.5830  11 Ce 3.03-3.35
11 Ru 0.2463 0.7500 0.0689  2 Ce 2.49-2.57
12 Ru 0.7537 0.2500 0.9311  2 Ce 2.49-2.57

Properties
E above lowest polymorph	0.16	eV/f.u.
volume	278	Å³ per cell
DOS at the Fermi energy	27.342	states/eV/cell
formation energy without anion corrections	-358	meV/atom
space group	P2_1/m, No. 11